SrAcPtRh | PBE | optimized geometry

Computed properties:
- calculated total energy (eV per atom) = -5.4230
- V (Å³/cell) = 100.9
- formation energy from the elements (eV per atom) = -0.6274

a b c (Å): 5.225 5.225 5.225
angles (deg): 60.00 60.00 60.00
Fractional coordinates of all 4 atoms:
1 Ac 0.000 0.000 0.000
2 Rh 0.250 0.250 0.250
3 Pt 0.750 0.750 0.750
4 Sr 0.500 0.500 0.500